Version A
DFT (PBE) results for a geometry-optimized KRb3Na6 structure.

extended XYZ file:
```
20
Lattice="7.705 4.448 5.589 -7.705 4.448 5.589 0.000 -8.897 5.589" Properties=species:S:1:pos:R:3 pbc="T T T"
K 0.000 0.000 0.000
K 0.000 0.000 8.384
Rb -4.163 1.686 6.987
Rb -3.542 -2.762 9.781
Rb 0.621 -4.448 6.987
Rb -0.621 4.448 9.781
Rb 3.542 2.762 6.987
Rb 4.163 -1.686 9.781
Na -0.173 -2.667 2.987
Na -2.223 1.483 2.987
Na -2.223 -1.483 5.397
Na 2.396 1.184 2.987
Na -0.173 2.667 5.397
Na 2.396 -1.184 5.397
Na -2.396 1.184 11.371
Na 0.173 -2.667 11.371
Na -2.396 -1.184 13.781
Na 2.223 1.483 11.371
Na 2.223 -1.483 13.781
Na 0.173 2.667 13.781
```

Properties
Calculated volume ... 1149 Å³ per cell
Density of states at the Fermi level ... 0.62 states/eV per atom

=====

Version B
DFT (PBE) results for a geometry-optimized KRb3Na6 structure.

extended XYZ file:
```
10
Lattice="7.806 4.507 2.713 -7.806 4.507 2.713 0.000 -9.014 2.713" Properties=species:S:1:pos:R:3 pbc="T T T"
K 0.000 0.000 0.000
Rb -3.836 -2.215 6.125
Rb 3.836 -2.215 6.125
Rb 0.000 4.429 6.125
Na -3.105 -1.793 2.174
Na 3.105 -1.793 2.174
Na 0.000 3.585 2.174
Na 0.000 -2.043 4.136
Na -1.769 1.021 4.136
Na 1.769 1.021 4.136
```

Properties
Calculated volume ... 573 Å³ per cell
Density of states at the Fermi level ... 0.50 states/eV per atom

=====

Energies relative to the most stable structure, in meV per atom: version A 23; version B 0.

=====

Version A
DFT (PBE) results for a geometry-optimized K7Rb2Na structure.

extended XYZ file:
```
10
Lattice="0.000 7.470 7.470 7.470 0.000 7.470 7.470 7.470 0.000" Properties=species:S:1:pos:R:3 pbc="T T T"
K 0.000 0.000 0.000
K 7.470 7.470 3.893
K 7.470 3.893 7.470
K 11.047 7.470 7.470
K 3.893 7.470 7.470
K 7.470 11.047 7.470
K 7.470 7.470 11.047
Rb 3.735 3.735 3.735
Rb 11.205 11.205 11.205
Na 7.470 7.470 7.470
```

Properties
Calculated volume ... 834 Å³ per cell
Density of states at the Fermi level ... 0.68 states/eV per atom

=====

Version B
DFT (PBE) results for a geometry-optimized K7Rb2Na structure.

extended XYZ file:
```
20
Lattice="9.832 -6.250 0.000 9.832 6.250 0.000 -9.097 0.000 11.811" Properties=species:S:1:pos:R:3 pbc="T T T"
K 5.425 3.380 2.256
K 3.009 4.447 8.859
K 1.809 1.610 5.248
K -0.136 1.942 10.956
K 9.690 3.380 3.650
K 6.155 1.942 6.762
K -2.739 -1.610 11.153
K 13.306 1.610 0.658
K 4.412 -1.942 5.050
K 0.876 -3.380 8.162
K 10.703 -1.942 0.856
K 8.758 -1.610 6.564
K 7.558 -4.447 2.953
K 5.142 -3.380 9.556
Rb -2.226 0.013 6.978
Rb 2.322 -0.013 1.072
Rb 8.245 0.013 10.739
Rb 12.793 -0.013 4.833
Na 3.009 0.073 8.859
Na 7.558 -0.073 2.953
```

Properties
Calculated volume ... 1451 Å³ per cell
Density of states at the Fermi level ... 0.75 states/eV per atom

=====

Energies relative to the most stable structure, in meV per atom: version A 97; version B 0.

=====

Version A
DFT (PBE) results for a geometry-optimized KRbNa structure.

extended XYZ file:
```
3
Lattice="0.000 4.813 4.813 4.813 0.000 4.813 4.813 4.813 0.000" Properties=species:S:1:pos:R:3 pbc="T T T"
K 0.000 0.000 0.000
Rb 4.813 4.813 4.813
Na 2.407 2.407 2.407
```

Properties
Calculated volume ... 223 Å³ per cell
Density of states at the Fermi level ... 1.00 states/eV per atom

=====

Version B
DFT (PBE) results for a geometry-optimized KRbNa structure.

extended XYZ file:
```
3
Lattice="-2.428 2.428 8.290 2.428 -2.428 8.290 2.428 2.428 -8.290" Properties=species:S:1:pos:R:3 pbc="T T T"
K 0.000 0.000 0.000
Rb 0.000 0.000 4.876
Na 0.000 0.000 10.524
```

Properties
Calculated volume ... 195 Å³ per cell
Density of states at the Fermi level ... 0.61 states/eV per atom

=====

Energies relative to the most stable structure, in meV per atom: version A 71; version B 0.

=====

Version A
DFT (PBE) results for a geometry-optimized KRbNa structure.

extended XYZ file:
```
3
Lattice="6.986 0.000 0.000 -3.493 6.050 0.000 0.000 0.000 4.601" Properties=species:S:1:pos:R:3 pbc="T T T"
K 0.000 0.000 0.000
Rb 0.000 4.034 1.792
Na 3.493 2.017 3.379
```

Properties
Calculated volume ... 194 Å³ per cell
Density of states at the Fermi level ... 0.73 states/eV per atom

=====

Version B
DFT (PBE) results for a geometry-optimized KRbNa structure.

extended XYZ file:
```
6
Lattice="-4.057 4.307 5.633 4.057 -4.307 5.633 4.057 4.307 -5.633" Properties=species:S:1:pos:R:3 pbc="T T T"
K 0.000 0.000 0.000
K 0.000 4.307 0.000
Rb 4.057 2.153 1.298
Rb 0.000 2.153 4.334
Na 2.029 2.153 -2.816
Na 2.029 -2.153 2.816
```

Properties
Calculated volume ... 394 Å³ per cell
Density of states at the Fermi level ... 0.63 states/eV per atom

=====

Version C
DFT (PBE) results for a geometry-optimized KRbNa structure.

extended XYZ file:
```
6
Lattice="6.639 0.000 0.000 -0.052 7.942 0.000 -3.313 -0.954 7.632" Properties=species:S:1:pos:R:3 pbc="T T T"
K 0.000 0.000 0.000
K -0.040 4.029 2.211
Rb -0.033 2.687 6.744
Rb 3.320 0.403 3.102
Na -0.042 6.592 5.239
Na 3.275 4.437 4.599
```

Properties
Calculated volume ... 402 Å³ per cell
Density of states at the Fermi level ... 0.59 states/eV per atom

=====

Energies relative to the most stable structure, in meV per atom: version A 21; version B 0; version C 14.

=====

Version A
DFT (PBE) results for a geometry-optimized K3Rb5Na structure.

extended XYZ file:
```
9
Lattice="12.901 0.000 0.000 -6.450 11.173 0.000 0.000 0.000 4.897" Properties=species:S:1:pos:R:3 pbc="T T T"
K -4.130 7.154 0.000
K 2.320 4.018 0.000
K 8.261 0.000 0.000
Rb -1.746 3.023 2.449
Rb 3.491 0.000 2.449
Rb 0.000 7.448 2.449
Rb 6.450 3.724 2.449
Rb 4.705 8.149 2.449
Na 0.000 0.000 0.000
```

Properties
Calculated volume ... 706 Å³ per cell
Density of states at the Fermi level ... 0.78 states/eV per atom

=====

Version B
DFT (PBE) results for a geometry-optimized K3Rb5Na structure.

extended XYZ file:
```
18
Lattice="10.112 -5.881 0.000 10.112 5.881 0.000 -4.349 0.000 13.071" Properties=species:S:1:pos:R:3 pbc="T T T"
K 0.000 0.000 0.000
K -2.175 0.000 6.536
K 1.336 0.000 4.070
K 2.743 0.000 9.731
K 13.131 0.000 3.340
K 14.538 0.000 9.001
Rb 5.064 2.542 5.430
Rb 4.969 0.000 0.885
Rb 10.112 2.105 0.000
Rb 10.811 2.542 7.641
Rb 8.743 0.000 4.083
Rb 7.131 0.000 8.988
Rb 5.064 -2.542 5.430
Rb 10.112 -2.105 0.000
Rb 10.906 0.000 12.186
Rb 10.811 -2.542 7.641
Na -1.474 0.000 10.328
Na 17.348 0.000 2.744
```

Properties
Calculated volume ... 1555 Å³ per cell
Density of states at the Fermi level ... 0.79 states/eV per atom

=====

Energies relative to the most stable structure, in meV per atom: version A 0; version B 76.

=====

Version A
DFT (PBE) results for a geometry-optimized K4Rb4Na structure.

extended XYZ file:
```
9
Lattice="-5.689 5.689 5.614 5.689 -5.689 5.614 5.689 5.689 -5.614" Properties=species:S:1:pos:R:3 pbc="T T T"
K 5.689 0.000 0.000
K 0.000 0.000 1.829
K 0.000 5.689 0.000
K 0.000 0.000 9.399
Rb 2.839 -2.839 2.822
Rb 2.850 2.850 2.791
Rb -2.839 2.839 2.822
Rb 2.839 2.839 8.405
Na 0.000 0.000 5.614
```

Properties
Calculated volume ... 727 Å³ per cell
Density of states at the Fermi level ... 0.87 states/eV per atom

=====

Version B
DFT (PBE) results for a geometry-optimized K4Rb4Na structure.

extended XYZ file:
```
9
Lattice="-7.018 7.018 3.460 7.018 -7.018 3.460 7.018 7.018 -3.460" Properties=species:S:1:pos:R:3 pbc="T T T"
K 2.197 2.210 0.000
K 11.826 2.197 0.000
K -4.808 4.821 3.460
K 4.821 4.808 3.460
Rb 7.018 2.555 0.000
Rb 2.555 7.018 0.000
Rb 4.463 0.000 3.460
Rb 0.000 4.463 3.460
Na 0.000 0.000 3.460
```

Properties
Calculated volume ... 682 Å³ per cell
Density of states at the Fermi level ... 0.73 states/eV per atom

=====

Energies relative to the most stable structure, in meV per atom: version A 78; version B 0.

=====

Version A
DFT (PBE) results for a geometry-optimized K5Rb12Na2 structure.

extended XYZ file:
```
19
Lattice="12.373 -4.847 0.000 12.373 4.847 0.000 -2.963 0.000 12.834" Properties=species:S:1:pos:R:3 pbc="T T T"
K 0.000 0.000 0.000
K 3.237 0.000 9.282
K 7.323 0.000 3.821
K 14.459 0.000 9.013
K 18.545 0.000 3.553
Rb -1.062 0.000 8.870
Rb 5.536 2.461 12.500
Rb 6.865 2.557 7.758
Rb 14.917 2.557 5.077
Rb 16.246 2.461 0.334
Rb 9.875 0.000 10.465
Rb 11.908 0.000 2.369
Rb 5.536 -2.461 12.500
Rb 6.865 -2.557 7.758
Rb 14.917 -2.557 5.077
Rb 16.246 -2.461 0.334
Rb 22.844 0.000 3.964
Na 10.891 1.633 6.417
Na 10.891 -1.633 6.417
```

Properties
Calculated volume ... 1539 Å³ per cell
Density of states at the Fermi level ... 0.75 states/eV per atom

=====

Version B
DFT (PBE) results for a geometry-optimized K5Rb12Na2 structure.

extended XYZ file:
```
19
Lattice="9.201 -7.407 0.000 9.201 7.407 0.000 -2.042 0.000 11.262" Properties=species:S:1:pos:R:3 pbc="T T T"
K 0.000 0.000 0.000
K 4.496 0.000 0.178
K 5.911 0.000 4.621
K 10.448 0.000 6.641
K 11.864 0.000 11.084
Rb 4.635 4.331 7.801
Rb 1.027 0.000 6.893
Rb 7.001 3.597 1.478
Rb 9.359 3.597 9.784
Rb 11.724 4.331 3.461
Rb 6.316 0.000 9.006
Rb 10.044 0.000 2.256
Rb 4.635 -4.331 7.801
Rb 7.001 -3.597 1.478
Rb 9.359 -3.597 9.784
Rb 15.333 0.000 4.369
Rb 11.724 -4.331 3.461
Na 8.180 3.358 5.631
Na 8.180 -3.358 5.631
```

Properties
Calculated volume ... 1535 Å³ per cell
Density of states at the Fermi level ... 0.86 states/eV per atom

=====

Energies relative to the most stable structure, in meV per atom: version A 6; version B 0.

=====

Version A
DFT (PBE) results for a geometry-optimized KRb6Na structure.

extended XYZ file:
```
8
Lattice="8.647 0.000 0.000 -0.169 8.657 0.000 -0.169 -0.037 8.658" Properties=species:S:1:pos:R:3 pbc="T T T"
K 0.000 0.000 0.000
Rb -0.117 4.312 2.211
Rb 2.122 -0.012 4.341
Rb 4.184 6.446 0.014
Rb 4.125 2.174 8.645
Rb 6.186 8.632 4.318
Rb 8.426 4.308 6.447
Na 4.154 4.310 4.329
```

Properties
Calculated volume ... 648 Å³ per cell
Density of states at the Fermi level ... 0.67 states/eV per atom

=====

Version B
DFT (PBE) results for a geometry-optimized KRb6Na structure.

extended XYZ file:
```
8
Lattice="10.518 0.000 0.000 0.000 10.518 0.000 0.000 0.000 5.831" Properties=species:S:1:pos:R:3 pbc="T T T"
K 0.000 0.000 0.000
Rb 0.000 5.259 0.000
Rb 2.794 2.794 2.916
Rb 2.794 7.724 2.916
Rb 5.259 0.000 0.000
Rb 7.724 2.794 2.916
Rb 7.724 7.724 2.916
Na 5.259 5.259 0.000
```

Properties
Calculated volume ... 645 Å³ per cell
Density of states at the Fermi level ... 0.70 states/eV per atom

=====

Energies relative to the most stable structure, in meV per atom: version A 12; version B 0.

=====

Version A
DFT (PBE) results for a geometry-optimized K2RbNa2 structure.

extended XYZ file:
```
5
Lattice="-2.418 2.418 13.655 2.418 -2.418 13.655 2.418 2.418 -13.655" Properties=species:S:1:pos:R:3 pbc="T T T"
K 0.000 0.000 3.448
K 0.000 0.000 23.862
Rb 0.000 0.000 13.655
Na 2.418 0.000 6.828
Na 0.000 2.418 6.828
```

Properties
Calculated volume ... 319 Å³ per cell
Density of states at the Fermi level ... 0.65 states/eV per atom

=====

Version B
DFT (PBE) results for a geometry-optimized K2RbNa2 structure.

extended XYZ file:
```
5
Lattice="9.067 -2.274 0.000 9.067 2.274 0.000 -1.576 0.000 7.541" Properties=species:S:1:pos:R:3 pbc="T T T"
K 2.263 0.000 0.513
K 14.295 0.000 7.028
Rb 8.279 0.000 3.771
Na 2.740 0.000 4.670
Na 13.819 0.000 2.871
```

Properties
Calculated volume ... 311 Å³ per cell
Density of states at the Fermi level ... 0.69 states/eV per atom

=====

Energies relative to the most stable structure, in meV per atom: version A 13; version B 0.

=====

Version A
DFT (PBE) results for a geometry-optimized K2RbNa2 structure.

extended XYZ file:
```
10
Lattice="11.239 0.000 0.000 0.000 11.239 0.000 0.000 0.000 4.807" Properties=species:S:1:pos:R:3 pbc="T T T"
K 1.903 3.716 0.000
K 3.716 9.336 0.000
K 7.523 1.903 0.000
K 9.336 7.523 0.000
Rb 0.000 0.000 2.403
Rb 5.620 5.620 2.403
Na 1.357 6.977 2.403
Na 4.262 1.357 2.403
Na 6.977 9.882 2.403
Na 9.882 4.262 2.403
```

Properties
Calculated volume ... 607 Å³ per cell
Density of states at the Fermi level ... 0.62 states/eV per atom

=====

Version B
DFT (PBE) results for a geometry-optimized K2RbNa2 structure.

extended XYZ file:
```
5
Lattice="5.513 -5.281 0.000 5.513 5.281 0.000 -3.980 0.000 5.304" Properties=species:S:1:pos:R:3 pbc="T T T"
K 5.513 3.131 0.000
K 5.513 -3.131 0.000
Rb 3.523 0.000 2.652
Na -0.607 0.000 3.691
Na 7.654 0.000 1.613
```

Properties
Calculated volume ... 309 Å³ per cell
Density of states at the Fermi level ... 0.66 states/eV per atom

=====

Version C
DFT (PBE) results for a geometry-optimized K2RbNa2 structure.

extended XYZ file:
```
5
Lattice="-3.021 3.021 8.805 3.021 -3.021 8.805 3.021 3.021 -8.805" Properties=species:S:1:pos:R:3 pbc="T T T"
K 3.021 0.000 4.402
K 0.000 3.021 4.402
Rb 0.000 0.000 0.000
Na 0.000 0.000 7.125
Na 0.000 0.000 10.484
```

Properties
Calculated volume ... 321 Å³ per cell
Density of states at the Fermi level ... 0.72 states/eV per atom

=====

Energies relative to the most stable structure, in meV per atom: version A 0; version B 12; version C 34.